A geometry-optimized Er3In3CuPt2 structure, computed with PBE.

Summary:
E_tot   -45.29 eV for the cell shown
M_tot   0.000 μB per atom

```
data_Er3In3CuPt2
_cell_length_a 7.6124
_cell_length_b 7.6124
_cell_length_c 3.7928
_cell_angle_alpha 90.00
_cell_angle_beta 90.00
_cell_angle_gamma 120.00
_space_group_name_H-M_alt 'P -6 2 m'
_space_group_IT_number 189
_space_group_name_Hall 'P -6 -2'
loop_
_atom_site_label
_atom_site_fract_x
_atom_site_fract_y
_atom_site_fract_z
_atom_site_occupancy
Er1 0.0000 0.5887 0.0000 1
In1 0.0000 0.2521 0.5000 1
Cu1 0.0000 0.0000 0.0000 1
Pt1 0.3333 0.6667 0.5000 1
```

=====

A geometry-optimized LuMgInPd structure, computed with PBE.

Summary:
Polymorph energy (0 for the lowest one)   0.14 eV/f.u.
M_tot   0.000 μB per atom

```
data_LuMgInPd
_cell_length_a 6.832
_cell_length_b 6.832
_cell_length_c 6.832
_cell_angle_alpha 90.00
_cell_angle_beta 90.00
_cell_angle_gamma 90.00
_space_group_name_H-M_alt 'F -4 3 m'
_space_group_IT_number 216
_space_group_name_Hall 'F -4 2 3'
loop_
_atom_site_label
_atom_site_fract_x
_atom_site_fract_y
_atom_site_fract_z
_atom_site_occupancy
Lu1 0.000 0.000 0.000 1
Mg1 0.250 0.250 0.750 1
In1 0.000 0.000 0.500 1
Pd1 0.250 0.250 0.250 1
```

=====

A geometry-optimized RbPmNO structure, computed with PBE.

Summary:
Polymorph energy (0 for the lowest one)   0.00 eV/f.u.
M_tot   0.250 μB per atom

```
data_RbPmNO
_cell_length_a 7.815
_cell_length_b 9.076
_cell_length_c 5.231
_cell_angle_alpha 90.00
_cell_angle_beta 90.00
_cell_angle_gamma 90.00
_space_group_name_H-M_alt 'P c a 21'
_space_group_IT_number 29
_space_group_name_Hall 'P 2c -2ac'
loop_
_atom_site_label
_atom_site_fract_x
_atom_site_fract_y
_atom_site_fract_z
_atom_site_occupancy
Rb1 0.106 0.111 0.000 1
Pm1 0.089 0.617 0.002 1
N1 0.109 0.585 0.503 1
O1 0.029 0.175 0.500 1
```

=====

A geometry-optimized HoTm2In3Ag3 structure, computed with PBE.

Summary:
E_tot   -67.86 eV for the cell shown
M_tot   0.000 μB per atom

```
data_HoTm2In3Ag3
_cell_length_a 3.860
_cell_length_b 13.563
_cell_length_c 7.816
_cell_angle_alpha 90.00
_cell_angle_beta 90.00
_cell_angle_gamma 90.00
_space_group_name_H-M_alt 'A m m 2'
_space_group_IT_number 38
_space_group_name_Hall 'A 2 -2'
loop_
_atom_site_label
_atom_site_fract_x
_atom_site_fract_y
_atom_site_fract_z
_atom_site_occupancy
Ho1 0.000 0.000 0.000 1
Tm1 0.000 0.201 0.604 1
In1 0.500 0.000 0.669 1
In2 0.500 0.133 0.270 1
Ag1 0.000 0.000 0.403 1
Ag2 0.500 0.168 0.902 1
```

=====

A geometry-optimized PrBi2Au2 structure, computed with PBE.

Summary:
E_tot   -41.21 eV for the cell shown
M_tot   0.000 μB per atom

```
data_PrBi2Au2
_cell_length_a 4.555
_cell_length_b 4.555
_cell_length_c 13.075
_cell_angle_alpha 90.00
_cell_angle_beta 90.00
_cell_angle_gamma 90.00
_space_group_name_H-M_alt 'I 4/m m m'
_space_group_IT_number 139
_space_group_name_Hall '-I 4 2'
loop_
_atom_site_label
_atom_site_fract_x
_atom_site_fract_y
_atom_site_fract_z
_atom_site_occupancy
Pr1 0.000 0.000 0.000 1
Bi1 0.000 0.000 0.384 1
Au1 0.000 0.500 0.250 1
```

=====

A geometry-optimized CdF structure, computed with PBE.

Summary:
E_tot   -5.34 eV for the cell shown

```
data_CdF
_cell_length_a 3.0487
_cell_length_b 3.0487
_cell_length_c 3.7177
_cell_angle_alpha 90.00
_cell_angle_beta 90.00
_cell_angle_gamma 120.00
_space_group_name_H-M_alt 'P -6 m 2'
_space_group_IT_number 187
_space_group_name_Hall 'P -6 2'
loop_
_atom_site_label
_atom_site_fract_x
_atom_site_fract_y
_atom_site_fract_z
_atom_site_occupancy
Cd1 0.0000 0.0000 0.0000 1
F1 0.6667 0.3333 0.5000 1
```

=====

A geometry-optimized PrDyNi2B2N2 structure, computed with PBE.

Summary:
E_tot   -58.50 eV for the cell shown
M_tot   0.000 μB per atom

```
data_PrDyNi2B2N2
_cell_length_a 3.578
_cell_length_b 3.578
_cell_length_c 7.533
_cell_angle_alpha 90.00
_cell_angle_beta 90.00
_cell_angle_gamma 90.00
_space_group_name_H-M_alt 'P 4 m m'
_space_group_IT_number 99
_space_group_name_Hall 'P 4 -2'
loop_
_atom_site_label
_atom_site_fract_x
_atom_site_fract_y
_atom_site_fract_z
_atom_site_occupancy
Pr1 0.000 0.000 0.000 1
Dy1 0.500 0.500 0.340 1
Ni1 0.000 0.500 0.669 1
B1 0.000 0.000 0.518 1
B2 0.500 0.500 0.829 1
N1 0.000 0.000 0.325 1
N2 0.500 0.500 0.024 1
```

=====

A geometry-optimized Pr2TmMg3Hg2Au structure, computed with PBE.

Summary:
E_tot   -53.69 eV for the cell shown
M_tot   0.002 μB per atom

```
data_Pr2TmMg3Hg2Au
_cell_length_a 4.273
_cell_length_b 13.535
_cell_length_c 7.847
_cell_angle_alpha 90.00
_cell_angle_beta 90.00
_cell_angle_gamma 90.00
_space_group_name_H-M_alt 'A m m 2'
_space_group_IT_number 38
_space_group_name_Hall 'A 2 -2'
loop_
_atom_site_label
_atom_site_fract_x
_atom_site_fract_y
_atom_site_fract_z
_atom_site_occupancy
Pr1 0.000 0.203 0.000 1
Tm1 0.000 0.000 0.606 1
Mg1 0.500 0.000 0.964 1
Mg2 0.500 0.118 0.325 1
Hg1 0.500 0.159 0.700 1
Au1 0.000 0.000 0.212 1
```

=====

A geometry-optimized Dy2LuSb3 structure, computed with PBE.

Summary:
E_tot   -32.66 eV for the cell shown
M_tot   0.001 μB per atom

```
data_Dy2LuSb3
_cell_length_a 4.3553
_cell_length_b 4.3553
_cell_length_c 10.6602
_cell_angle_alpha 90.00
_cell_angle_beta 90.00
_cell_angle_gamma 120.00
_space_group_name_H-M_alt 'P -3 m 1'
_space_group_IT_number 164
_space_group_name_Hall '-P 3 2"'
loop_
_atom_site_label
_atom_site_fract_x
_atom_site_fract_y
_atom_site_fract_z
_atom_site_occupancy
Dy1 0.3333 0.6667 0.1686 1
Lu1 0.0000 0.0000 0.5000 1
Sb1 0.0000 0.0000 0.0000 1
Sb2 0.3333 0.6667 0.6622 1
```

=====

A geometry-optimized InFeMoW structure, computed with PBE.

Summary:
Polymorph energy (0 for the lowest one)   0.00 eV/f.u.
M_tot   0.238 μB per atom

```
data_InFeMoW
_cell_length_a 6.307
_cell_length_b 6.307
_cell_length_c 6.307
_cell_angle_alpha 90.00
_cell_angle_beta 90.00
_cell_angle_gamma 90.00
_space_group_name_H-M_alt 'F -4 3 m'
_space_group_IT_number 216
_space_group_name_Hall 'F -4 2 3'
loop_
_atom_site_label
_atom_site_fract_x
_atom_site_fract_y
_atom_site_fract_z
_atom_site_occupancy
In1 0.000 0.000 0.000 1
Fe1 0.250 0.250 0.250 1
Mo1 0.250 0.250 0.750 1
W1 0.000 0.000 0.500 1
```

=====

A geometry-optimized NaSrNbNi structure, computed with PBE.

Summary:
Polymorph energy (0 for the lowest one)   0.31 eV/f.u.
M_tot   0.058 μB per atom

```
data_NaSrNbNi
_cell_length_a 6.890
_cell_length_b 6.890
_cell_length_c 6.890
_cell_angle_alpha 90.00
_cell_angle_beta 90.00
_cell_angle_gamma 90.00
_space_group_name_H-M_alt 'F -4 3 m'
_space_group_IT_number 216
_space_group_name_Hall 'F -4 2 3'
loop_
_atom_site_label
_atom_site_fract_x
_atom_site_fract_y
_atom_site_fract_z
_atom_site_occupancy
Na1 0.000 0.000 0.000 1
Sr1 0.250 0.250 0.750 1
Nb1 0.000 0.000 0.500 1
Ni1 0.250 0.250 0.250 1
```

=====

A geometry-optimized Y2HfAs3 structure, computed with PBE.

Summary:
E_tot   -45.01 eV for the cell shown
M_tot   0.000 μB per atom

```
data_Y2HfAs3
_cell_length_a 4.0054
_cell_length_b 4.0054
_cell_length_c 9.8736
_cell_angle_alpha 90.00
_cell_angle_beta 90.00
_cell_angle_gamma 120.00
_space_group_name_H-M_alt 'P -3 m 1'
_space_group_IT_number 164
_space_group_name_Hall '-P 3 2"'
loop_
_atom_site_label
_atom_site_fract_x
_atom_site_fract_y
_atom_site_fract_z
_atom_site_occupancy
Y1 0.3333 0.6667 0.3277 1
Hf1 0.0000 0.0000 0.0000 1
As1 0.0000 0.0000 0.5000 1
As2 0.3333 0.6667 0.8475 1
```

=====

A geometry-optimized ZrAs2Pt structure, computed with PBE.

Summary:
E_tot   -100.19 eV for the cell shown
M_tot   0.001 μB per atom

```
data_ZrAs2Pt
_cell_length_a 6.658
_cell_length_b 6.658
_cell_length_c 6.658
_cell_angle_alpha 90.00
_cell_angle_beta 90.00
_cell_angle_gamma 90.00
_space_group_name_H-M_alt 'F -4 3 m'
_space_group_IT_number 216
_space_group_name_Hall 'F -4 2 3'
loop_
_atom_site_label
_atom_site_fract_x
_atom_site_fract_y
_atom_site_fract_z
_atom_site_occupancy
Zr1 0.000 0.000 0.000 1
As1 0.000 0.000 0.500 1
As2 0.250 0.250 0.250 1
Pt1 0.250 0.250 0.750 1
```

=====

A geometry-optimized GdSbN2O structure, computed with PBE.

Summary:
E_tot   -281.75 eV for the cell shown
M_tot   0.000 μB per atom

```
data_GdSbN2O
_cell_length_a 8.069
_cell_length_b 7.867
_cell_length_c 11.239
_cell_angle_alpha 90.00
_cell_angle_beta 134.03
_cell_angle_gamma 90.00
_space_group_name_H-M_alt 'P 1 21/c 1'
_space_group_IT_number 14
_space_group_name_Hall '-P 2ybc'
loop_
_atom_site_label
_atom_site_fract_x
_atom_site_fract_y
_atom_site_fract_z
_atom_site_occupancy
Gd1 0.056 0.250 0.023 1
Gd2 0.443 0.743 0.465 1
Sb1 0.019 0.005 0.257 1
Sb2 0.497 0.503 0.757 1
N1 0.044 0.746 0.826 1
N2 0.193 0.557 0.690 1
N3 0.294 0.068 0.499 1
N4 0.457 0.249 0.783 1
O1 0.205 0.554 0.203 1
O2 0.309 0.043 0.998 1
```

=====

A geometry-optimized Er2LuFe3Co6 structure, computed with PBE.

Summary:
Energy of formation from the pure elements   -0.212 eV per atom
M_tot   1.122 μB per atom

```
data_Er2LuFe3Co6
_cell_length_a 5.0262
_cell_length_b 5.0262
_cell_length_c 23.5413
_cell_angle_alpha 90.00
_cell_angle_beta 90.00
_cell_angle_gamma 120.00
_space_group_name_H-M_alt 'R -3 m'
_space_group_IT_number 166
_space_group_name_Hall '-R 3 2"'
loop_
_atom_site_label
_atom_site_fract_x
_atom_site_fract_y
_atom_site_fract_z
_atom_site_occupancy
Er1 0.0000 0.0000 0.1406 1
Lu1 0.0000 0.0000 0.0000 1
Fe1 0.0000 0.0000 0.3334 1
Fe2 0.0000 0.0000 0.5000 1
Co1 0.0017 0.5008 0.9181 1
```

=====

A geometry-optimized Hf3TlI structure, computed with PBE.

Summary:
E_tot   -27.77 eV for the cell shown
M_tot   0.009 μB per atom

```
data_Hf3TlI
_cell_length_a 5.212
_cell_length_b 5.212
_cell_length_c 5.212
_cell_angle_alpha 90.00
_cell_angle_beta 90.00
_cell_angle_gamma 90.00
_space_group_name_H-M_alt 'P m -3 m'
_space_group_IT_number 221
_space_group_name_Hall '-P 4 2 3'
loop_
_atom_site_label
_atom_site_fract_x
_atom_site_fract_y
_atom_site_fract_z
_atom_site_occupancy
Hf1 0.000 0.000 0.500 1
Tl1 0.500 0.500 0.500 1
I1 0.000 0.000 0.000 1
```

=====

A geometry-optimized BaReO3 structure, computed with PBE.

Summary:
E_tot   -38.91 eV for the cell shown
M_tot   0.010 μB per atom

```
data_BaReO3
_cell_length_a 4.037
_cell_length_b 4.037
_cell_length_c 4.037
_cell_angle_alpha 90.00
_cell_angle_beta 90.00
_cell_angle_gamma 90.00
_space_group_name_H-M_alt 'P m -3 m'
_space_group_IT_number 221
_space_group_name_Hall '-P 4 2 3'
loop_
_atom_site_label
_atom_site_fract_x
_atom_site_fract_y
_atom_site_fract_z
_atom_site_occupancy
Ba1 0.000 0.000 0.000 1
Re1 0.500 0.500 0.500 1
O1 0.000 0.500 0.500 1
```

=====

A geometry-optimized YCuSnOs structure, computed with PBE.

Summary:
Polymorph energy (0 for the lowest one)   0.00 eV/f.u.
M_tot   0.000 μB per atom

```
data_YCuSnOs
_cell_length_a 6.661
_cell_length_b 6.661
_cell_length_c 6.661
_cell_angle_alpha 90.00
_cell_angle_beta 90.00
_cell_angle_gamma 90.00
_space_group_name_H-M_alt 'F -4 3 m'
_space_group_IT_number 216
_space_group_name_Hall 'F -4 2 3'
loop_
_atom_site_label
_atom_site_fract_x
_atom_site_fract_y
_atom_site_fract_z
_atom_site_occupancy
Y1 0.000 0.000 0.000 1
Cu1 0.250 0.250 0.750 1
Sn1 0.000 0.000 0.500 1
Os1 0.250 0.250 0.250 1
```

=====

A geometry-optimized ZnW structure, computed with PBE.

Summary:
Polymorph energy (0 for the lowest one)   0.08 eV/f.u.
Energy of formation from the pure elements   0.262 eV per atom
M_tot   0.000 μB per atom

```
data_ZnW
_cell_length_a 4.481
_cell_length_b 10.946
_cell_length_c 4.978
_cell_angle_alpha 90.00
_cell_angle_beta 90.00
_cell_angle_gamma 90.00
_space_group_name_H-M_alt 'P m m n'
_space_group_IT_number 59
loop_
_space_group_symop_operation_xyz
'x,y,z'
'-x,-y,-z'
'-x+1/2,-y+1/2,z'
'x+1/2,y+1/2,-z'
'x+1/2,-y,-z'
'-x+1/2,y,z'
'-x,y+1/2,-z'
'x,-y+1/2,z'
loop_
_atom_site_label
_atom_site_fract_x
_atom_site_fract_y
_atom_site_fract_z
_atom_site_occupancy
Zn1 0.250 0.130 0.182 1
Zn2 0.250 0.250 0.715 1
Zn3 0.250 0.750 0.635 1
W1 0.250 0.010 0.665 1
W2 0.250 0.616 0.134 1
```

=====

A geometry-optimized PaGaPt structure, computed with PBE.

Summary:
E_tot   -75.90 eV for the cell shown
M_tot   0.001 μB per atom

```
data_PaGaPt
_cell_length_a 6.637
_cell_length_b 6.637
_cell_length_c 6.637
_cell_angle_alpha 90.00
_cell_angle_beta 90.00
_cell_angle_gamma 90.00
_space_group_name_H-M_alt 'F -4 3 m'
_space_group_IT_number 216
_space_group_name_Hall 'F -4 2 3'
loop_
_atom_site_label
_atom_site_fract_x
_atom_site_fract_y
_atom_site_fract_z
_atom_site_occupancy
Pa1 0.000 0.000 0.000 1
Ga1 0.250 0.250 0.750 1
Pt1 0.250 0.250 0.250 1
```